Entry 1:
Material: Li6HgGe
Method: DFT, PBE
State: relaxed

Calculated values
energy relative to the elements	-2.20	eV/f.u.
total moment	0.00	μB/atom
density of states at the Fermi level	2.756	states/eV/f.u.

a = 4.6523 Å, b = 5.8398 Å, c = 9.9512 Å
α = 90.00°, β = 90.00°, γ = 90.00°
Closest atoms and distances in Å follow each position.
Space group Amm2 (No. 38)
Symmetry-distinct sites (fractional):
Li  0.0000  0.0000  0.0000  6 Li 2.67-2.90, 2 Ge 2.80, 2 Hg 2.92
Li  0.0000  0.2291  0.7684  6 Li 2.67-2.92, 2 Ge 2.78, 2 Hg 2.88-2.90
Li  0.5000  0.0000  0.3413  2 Hg 2.87, 8 Li 2.87-2.91, 2 Ge 2.92
Li  0.5000  0.2478  0.5908  2 Hg 2.85, 8 Li 2.87-2.95, 2 Ge 2.87-2.90
Hg  0.0000  0.0000  0.5102  12 Li 2.85-2.92
Ge  0.5000  0.0000  0.8428  12 Li 2.78-2.92

Entry 2:
Material: TaMo
Method: DFT, PBE
State: relaxed

Calculated values
energy relative to the elements	-0.32	eV/f.u.
total moment	0.00	μB/atom
density of states at the Fermi level	1.407	states/eV/f.u.

a = 5.3565 Å, b = 5.3736 Å, c = 5.3886 Å
α = 96.22°, β = 117.62°, γ = 94.23°
Closest atoms and distances in Å follow each position.
Space group P-1 (No. 2)
Symmetry-distinct sites (fractional):
Ta  0.0632  0.1303  0.3115  5 Mo 2.77-2.80, 3 Ta 2.85-2.88
Ta  0.1943  0.3805  0.9304  5 Mo 2.76-2.81, 3 Ta 2.85-2.88
Mo  0.3163  0.6288  0.5577  3 Mo 2.74-2.80, 5 Ta 2.77-2.81
Mo  0.4371  0.8789  0.1879  5 Ta 2.76-2.79, 3 Mo 2.76-2.82

Entry 3:
Material: Pr2In3Ag5
Method: DFT, PBE
State: relaxed

Calculated values
energy relative to the elements	-2.23	eV/f.u.
total moment	0.00	μB/atom
density of states at the Fermi level	5.732	states/eV/f.u.

a = 12.2212 Å, b = 12.5835 Å, c = 6.2535 Å
α = 90.00°, β = 90.00°, γ = 90.00°
Closest atoms and distances in Å follow each position.
Space group Ibam (No. 72)
Symmetry-distinct sites (fractional):
Pr  0.1247  0.2445  0.0000  4 Ag 3.31-3.40, 4 In 3.36-3.42
In  0.0000  0.5000  0.2500  6 Ag 2.86-2.96, 2 In 3.13
In  0.1303  0.1350  0.5000  5 Ag 2.72-2.80
Ag  0.0000  0.0000  0.2500  4 In 2.80, 2 Ag 3.13
Ag  0.1227  0.3513  0.5000  3 In 2.72-2.86, 2 Ag 2.84
Ag  0.2424  0.5000  0.2500  3 In 2.78-2.96, 2 Ag 2.84

Entry 4:
Material: NbHCl2
Method: DFT, PBE
State: relaxed

Calculated values
final energy	-4.167	eV per atom
total moment	0.50	μB/atom
density of states at the Fermi level	0.837	states/eV/f.u.

a = 6.2325 Å, b = 6.2325 Å, c = 6.2325 Å
α = 90.00°, β = 90.00°, γ = 90.00°
Closest atoms and distances in Å follow each position.
Space group Fm-3m (No. 225)
Symmetry-distinct sites (fractional):
Nb  0.0000  0.0000  0.0000  8 Cl 2.70
H  0.0000  0.0000  0.5000  8 Cl 2.70
Cl  0.2500  0.2500  0.2500  4 H 2.70, 4 Nb 2.70

Entry 5:
Material: Dy7Tm2
Method: DFT, PBE
State: relaxed

Calculated values
energy relative to the elements	0.36	eV/f.u.
energy relative to the lowest polymorph listed for this composition	17	meV/atom
total moment	0.02	μB/atom
density of states at the Fermi level	16.251	states/eV/f.u.

a = 9.6098 Å, b = 9.6098 Å, c = 3.5033 Å
α = 90.00°, β = 90.00°, γ = 120.00°
Closest atoms and distances in Å follow each position.
Space group P-62m (No. 189)
Symmetry-distinct sites (fractional):
Dy  0.0000  0.0000  0.0000  11 Dy 3.40-3.50
Dy  0.0000  0.3033  0.5000  2 Tm 3.36, 10 Dy 3.40-3.69
Dy  0.0000  0.6360  0.0000  9 Dy 3.50-3.69, 4 Tm 3.53
Tm  0.3333  0.6667  0.5000  9 Dy 3.36-3.53, 2 Tm 3.50